Computed, not measured: a relaxed KMgCr2 crystal at the GGA-PBE level of DFT.

Cell and atoms, written as POSCAR:
```
KMgCr2
1.0
1.610 0.929 10.760
-1.610 0.929 10.760
0.000 -1.859 10.760
K Mg Cr
1 1 2
Cartesian
0.000 0.000 0.000 K
0.000 0.000 16.139 Mg
0.000 0.000 7.658 Cr
0.000 0.000 24.621 Cr
```

Uncorrected energy   -0.3259 Ry/atom
ΔH_f (0 K)   1.05 eV/atom



Computed, not measured: a relaxed Cs3Ca2OsO6 crystal at the GGA-PBE level of DFT.

Cell and atoms, written as POSCAR:
```
Cs3Ca2OsO6
1.0
3.033 -5.255 0.000
3.033 5.255 0.000
-1.991 0.000 6.699
Cs Ca Os O
3 2 1 6
Cartesian
0.000 0.000 0.000 Cs
3.033 1.758 0.000 Cs
3.033 -1.758 0.000 Cs
2.037 3.503 3.349 Ca
2.037 -3.503 3.349 Ca
2.037 0.000 3.349 Os
1.162 1.501 2.267 O
0.305 0.000 4.461 O
1.162 -1.501 2.267 O
2.913 1.501 4.431 O
3.770 0.000 2.238 O
2.913 -1.501 4.431 O
```

Uncorrected energy   -0.4169 Ry/atom
Formation energy from raw total energies   -1.7104 eV/atom



Computed, not measured: a relaxed Ni2Sb crystal at the GGA-PBE level of DFT.

Cell and atoms, written as POSCAR:
```
Ni2Sb
1.0
3.549 0.000 0.000
0.000 3.549 0.000
0.000 0.000 3.820
Ni Sb
2 1
Cartesian
0.000 1.774 0.000 Ni
1.774 0.000 0.000 Ni
0.000 0.000 1.910 Sb
```

Uncorrected energy   -0.3813 Ry/atom
Formation energy from raw total energies   0.0406 eV/atom



Q: Which of these has the highest uncorrected energy?
A: KMgCr2



Please write out number 2 again, unchanged.
Computed, not measured: a relaxed Cs3Ca2OsO6 crystal at the GGA-PBE level of DFT.

Cell and atoms, written as POSCAR:
```
Cs3Ca2OsO6
1.0
3.033 -5.255 0.000
3.033 5.255 0.000
-1.991 0.000 6.699
Cs Ca Os O
3 2 1 6
Cartesian
0.000 0.000 0.000 Cs
3.033 1.758 0.000 Cs
3.033 -1.758 0.000 Cs
2.037 3.503 3.349 Ca
2.037 -3.503 3.349 Ca
2.037 0.000 3.349 Os
1.162 1.501 2.267 O
0.305 0.000 4.461 O
1.162 -1.501 2.267 O
2.913 1.501 4.431 O
3.770 0.000 2.238 O
2.913 -1.501 4.431 O
```

Uncorrected energy   -0.4169 Ry/atom
Formation energy from raw total energies   -1.7104 eV/atom



Repeat the first record exactly.
Computed, not measured: a relaxed KMgCr2 crystal at the GGA-PBE level of DFT.

Cell and atoms, written as POSCAR:
```
KMgCr2
1.0
1.610 0.929 10.760
-1.610 0.929 10.760
0.000 -1.859 10.760
K Mg Cr
1 1 2
Cartesian
0.000 0.000 0.000 K
0.000 0.000 16.139 Mg
0.000 0.000 7.658 Cr
0.000 0.000 24.621 Cr
```

Uncorrected energy   -0.3259 Ry/atom
ΔH_f (0 K)   1.05 eV/atom



Q: Number 3 is which compound?
A: Ni2Sb